LaS3O (GGA-PBE, relaxed); total energy = -5.110 eV/atom; mass density = 4.812 g/cm³; E_form (uncorrected) = -656 meV per atom
1.0
-4.3545 -0.7699 -0.1674
0.4864 -3.3663 2.8309
-0.6199 2.7673 3.3971
S O La
3 1 1
direct
0.0000 0.5000 0.0000
0.0000 0.0000 0.5000
0.5000 0.0000 0.0000
0.0000 0.0000 0.0000
0.5000 0.5000 0.5000